No. 1
A geometry-optimized NaErO2 structure. Source: Alexandria, functional GGA-PBEsol.

abc: 6.554 12.997 5.834
angles: 90.00 122.77 90.00
Space group C2/c (No. 15)
One atom of each set of equivalent atoms:
1 Na 0.000 0.056 0.250 [4 per cell]
2 Na 0.000 0.180 0.750 [4 per cell]
3 Er 0.000 0.307 0.250 [4 per cell]
4 Er 0.000 0.433 0.750 [4 per cell]
5 O 0.204 0.437 0.207 [8 per cell]
6 O 0.229 0.312 0.709 [8 per cell]

## Properties
* uncorrected formation energy: -278 kJ/mol of atoms
* magnetization: 0.000 μB/atom
* density: 7.07 g/cm³

***

No. 2
A geometry-optimized GaCSN2 structure. Source: Alexandria, functional GGA-PBEsol.

abc: 3.677 3.677 5.190
angles: 90.00 90.00 90.00
Space group P4/mmm (No. 123)
One atom of each set of equivalent atoms:
1 Ga 0.000 0.000 0.000 [1 per cell]
2 C 0.500 0.500 0.500 [1 per cell]
3 S 0.000 0.000 0.500 [1 per cell]
4 N 0.000 0.500 0.000 [2 per cell]

## Properties
* uncorrected formation energy: 235 kJ/mol of atoms
* magnetization: 0.461 μB/atom
* density: 3.35 g/cm³

***

No. 3
A geometry-optimized KLiCo2 structure. Source: Alexandria, functional GGA-PBEsol.

abc: 4.942 9.785 2.567
angles: 90.00 90.00 90.00
Space group Cmmm (No. 65)
One atom of each set of equivalent atoms:
1 K 0.000 0.000 0.000 [2 per cell]
2 Li 0.000 0.500 0.000 [2 per cell]
3 Co 0.250 0.250 0.500 [4 per cell]

## Properties
* magnetization: 0.752 μB/atom
* energy of formation from the pure elements: 22.369 kcal/mol of atoms
* density: 4.38 g/cm³

***

No. 4
A geometry-optimized YGePd2 structure. Source: Alexandria, functional GGA-PBEsol.

abc: 7.319 7.026 5.510
angles: 90.00 90.00 90.00
Space group Pnma (No. 62)
One atom of each set of equivalent atoms:
1 Y 0.029 0.250 0.143 [4 per cell]
2 Ge 0.119 0.750 0.357 [4 per cell]
3 Pd 0.181 0.052 0.589 [8 per cell]

## Properties
* magnetization: 0.000 μB/atom
* energy of formation from the pure elements: -21.936 kcal/mol of atoms
* density: 8.78 g/cm³

***

No. 5
A geometry-optimized SiSbW2 structure. Source: Alexandria, functional GGA-PBEsol.

abc: 3.301 4.621 9.302
angles: 90.00 90.00 90.00
Space group Cmm2 (No. 35)
One atom of each set of equivalent atoms:
1 Si 0.000 0.000 0.000 [2 per cell]
2 Sb 0.000 0.500 0.308 [2 per cell]
3 W 0.000 0.000 0.562 [2 per cell]
4 W 0.000 0.500 0.789 [2 per cell]

## Properties
* uncorrected formation energy: 39 kJ/mol of atoms
* magnetization: 0.000 μB/atom
* density: 12.11 g/cm³

***

No. 6
A geometry-optimized KSi3C structure. Source: Alexandria, functional GGA-PBEsol.

abc: 4.371 4.371 4.371
angles: 90.00 90.00 90.00
Space group Pm-3m (No. 221)
One atom of each set of equivalent atoms:
1 K 0.000 0.000 0.000 [1 per cell]
2 Si 0.000 0.500 0.500 [3 per cell]
3 C 0.500 0.500 0.500 [1 per cell]

## Properties
* uncorrected formation energy: 109 kJ/mol of atoms
* magnetization: 0.000 μB/atom
* density: 2.69 g/cm³

***

No. 7
A geometry-optimized YMo2O7F structure. Source: Alexandria, functional GGA-PBEsol.

abc: 4.243 6.543 11.347
angles: 90.00 90.42 90.00
Space group P2/c (No. 13)
One atom of each set of equivalent atoms:
1 Y 0.000 0.203 0.250 [2 per cell]
2 Mo 0.098 0.331 0.594 [4 per cell]
3 O 0.000 0.350 0.066 [4 per cell]
4 O 0.000 0.440 0.750 [2 per cell]
5 O 0.019 0.078 0.629 [4 per cell]
6 O 0.500 0.344 0.597 [4 per cell]
7 F 0.500 0.199 0.250 [2 per cell]

## Properties
* uncorrected formation energy: -246 kJ/mol of atoms
* magnetization: 0.000 μB/atom
* density: 4.34 g/cm³

***

No. 8
A geometry-optimized LiZn2Pt2 structure. Source: Alexandria, functional GGA-PBEsol.

abc: 7.357 7.357 2.798
angles: 90.00 90.00 90.00
Space group P4/mbm (No. 127)
One atom of each set of equivalent atoms:
1 Li 0.000 0.000 0.000 [2 per cell]
2 Zn 0.158 0.342 0.500 [4 per cell]
3 Pt 0.141 0.641 0.000 [4 per cell]

## Properties
* magnetization: 0.000 μB/atom
* energy of formation from the pure elements: -12.056 kcal/mol of atoms
* density: 11.58 g/cm³

***

No. 9
A geometry-optimized InRe2Hg structure. Source: Alexandria, functional GGA-PBEsol.

abc: 2.894 4.880 9.687
angles: 90.00 90.00 90.00
Space group Immm (No. 71)
One atom of each set of equivalent atoms:
1 In 0.000 0.000 0.000 [2 per cell]
2 Re 0.000 0.500 0.251 [4 per cell]
3 Hg 0.000 0.000 0.500 [2 per cell]

## Properties
* magnetization: 0.000 μB/atom
* energy of formation from the pure elements: 18.435 kcal/mol of atoms
* density: 16.69 g/cm³

***

No. 10
A geometry-optimized HfNiNO2 structure. Source: Alexandria, functional GGA-PBEsol.

abc: 3.558 3.558 3.740
angles: 90.00 90.00 90.00
Space group P4/mmm (No. 123)
One atom of each set of equivalent atoms:
1 Hf 0.000 0.000 0.000 [1 per cell]
2 Ni 0.500 0.500 0.500 [1 per cell]
3 N 0.500 0.500 0.000 [1 per cell]
4 O 0.000 0.500 0.500 [2 per cell]

## Properties
* uncorrected formation energy: -97 kJ/mol of atoms
* magnetization: 0.000 μB/atom
* density: 9.93 g/cm³

***

No. 11
A geometry-optimized ReAgCl3 structure. Source: Alexandria, functional GGA-PBEsol.

abc: 4.729 4.729 4.729
angles: 90.00 90.00 90.00
Space group Pm-3m (No. 221)
One atom of each set of equivalent atoms:
1 Re 0.000 0.000 0.000 [1 per cell]
2 Ag 0.500 0.500 0.500 [1 per cell]
3 Cl 0.000 0.000 0.500 [3 per cell]

## Properties
* uncorrected formation energy: 34 kJ/mol of atoms
* magnetization: 0.467 μB/atom
* density: 6.29 g/cm³

***

No. 12
A geometry-optimized K2AsRuS structure. Source: Alexandria, functional GGA-PBEsol.

abc: 6.286 6.286 4.641
angles: 90.00 90.00 90.00
Space group P4/mmm (No. 123)
One atom of each set of equivalent atoms:
1 K 0.000 0.500 0.000 [2 per cell]
2 As 0.000 0.000 0.000 [1 per cell]
3 Ru 0.500 0.500 0.500 [1 per cell]
4 S 0.000 0.000 0.500 [1 per cell]

## Properties
* uncorrected formation energy: 105 kJ/mol of atoms
* magnetization: 0.638 μB/atom
* density: 2.59 g/cm³

***

Volume values (in A^3/atom) by entry order: 13.1; 14.0; 15.5; 17.7; 17.7; 16.7; 14.3; 15.1; 17.1; 9.5; 21.2; 36.7.
VASP energy values (in eV for the cell shown) by entry order: -226.82; -22.26; -29.39; -109.93; -72.62; -22.36; -194.05; -43.34; -54.03; -40.73; -20.90; -16.51.